# 1
# K2Ba3F8

A relaxed structure of K2Ba3F8 (PBE, Alexandria via LeMat-Bulk).

a b c (Å): 4.2896 11.0724 7.4634
angles (deg): 70.30 91.29 91.08
Atoms (fractional coordinates):
K1 0.5162 0.6724 0.7316
Ba1 0.5000 0.0000 0.0000
F1 0.4951 0.2028 0.6863
F2 0.5049 0.7972 0.3137
F3 0.0080 0.5911 0.6206
F4 0.5119 0.3972 0.9010
F5 0.9909 0.8742 0.9434
F6 0.9920 0.4089 0.3794
K2 0.4838 0.3276 0.2684
F7 0.0091 0.1258 0.0566
Ba2 0.0028 0.3366 0.7478
Ba3 0.9972 0.6634 0.2522
F8 0.4881 0.6028 0.0990

Output
Calculated total energy   -5.20 eV per atom
Space group   P-1
DOS at the Fermi energy   0.0 states/eV per cell


# 2
# KBa4F10

A relaxed structure of KBa4F10 (PBE, Alexandria via LeMat-Bulk).

a b c (Å): 6.2790 7.7100 7.7100
angles (deg): 80.46 65.97 65.97
Atoms (fractional coordinates):
F1 0.1549 0.3086 0.8958
F2 0.3593 0.6914 0.1042
Ba1 0.6006 0.1988 0.6000
F3 0.6407 0.3086 0.8958
K1 0.0000 0.0000 0.0000
F4 0.2500 0.5000 0.5000
F5 0.9493 0.8958 0.6914
F6 0.7500 0.5000 0.5000
F7 0.0507 0.1042 0.3086
Ba2 0.7994 0.6000 0.8012
F8 0.8451 0.6914 0.1042
Ba3 0.2006 0.4000 0.1988
Ba4 0.3994 0.8012 0.4000
F9 0.5365 0.1042 0.3086
F10 0.4635 0.8958 0.6914

Output
Calculated total energy   -5.29 eV per atom
Space group   I4/m
DOS at the Fermi energy   29.1 states/eV per cell


# 3
# KBa3F

A relaxed structure of KBa3F (PBE, Alexandria via LeMat-Bulk).

a b c (Å): 6.1719 6.1719 6.1719
angles (deg): 90.00 90.00 90.00
Atoms (fractional coordinates):
K1 0.5000 0.5000 0.5000
Ba1 0.0000 0.5000 0.0000
F1 0.0000 0.0000 0.0000
Ba2 0.5000 0.0000 0.0000
Ba3 0.0000 0.0000 0.5000

Output
Calculated total energy   -2.65 eV per atom
Relative energy among the computed polymorphs   0.0000 eV per atom
Space group   Pm-3m
DOS at the Fermi energy   7.4 states/eV per cell


# 4
# K5BaF7

A relaxed structure of K5BaF7 (PBE, Alexandria via LeMat-Bulk).

a b c (Å): 3.7980 6.6091 21.9087
angles (deg): 90.63 90.00 106.70
Atoms (fractional coordinates):
K1 0.5474 0.0949 0.1506
K2 0.7275 0.4549 0.9263
F1 0.6299 0.2598 0.4629
F2 0.9157 0.8314 0.1105
F3 0.4350 0.8701 0.2493
K3 0.4564 0.9128 0.6492
F4 0.0953 0.1905 0.8844
K4 0.2708 0.5417 0.4272
K5 0.5392 0.0784 0.3510
K6 0.4582 0.9164 0.8501
F5 0.8051 0.6101 0.6824
F6 0.8052 0.6104 0.8171
K7 0.0041 0.0082 0.9994
F7 0.1884 0.3768 0.3193
K8 0.2798 0.5595 0.0751
Ba1 0.2050 0.4100 0.7492
K9 0.9976 0.9951 0.5002
F8 0.3646 0.7293 0.5368
Ba2 0.7957 0.5913 0.2564
F9 0.3683 0.7366 0.9621
F10 0.8961 0.7922 0.3784
F11 0.5653 0.1307 0.7499
F12 0.0935 0.1870 0.6159
F13 0.6390 0.2780 0.0378
F14 0.2009 0.4018 0.1848
K10 0.7235 0.4471 0.5737

Output
Calculated total energy   -4.54 eV per atom
Space group   Cm
DOS at the Fermi energy   0.0 states/eV per cell


# 5
# K12Ba3F5

A relaxed structure of K12Ba3F5 (PBE, Alexandria via LeMat-Bulk).

a b c (Å): 16.9962 16.9962 16.9962
angles (deg): 109.47 109.47 109.47
Atoms (fractional coordinates):
K1 0.9154 0.5844 0.8863
K2 0.4154 0.0291 0.8310
K3 0.5846 0.9709 0.1690
F1 0.7500 0.6250 0.3750
K4 0.8019 0.8863 0.9709
Ba1 0.7500 0.8750 0.6250
K5 0.9156 0.8019 0.8310
Ba2 0.1250 0.2500 0.8750
K6 0.4156 0.0846 0.6137
F2 0.0000 0.5000 0.5000
K7 0.1137 0.9156 0.0846
F3 0.6250 0.7500 0.8750
F4 0.8750 0.6250 0.7500
K8 0.9156 0.1137 0.5846
K9 0.6137 0.5846 0.4156
K10 0.6690 0.5844 0.1981
K11 0.5291 0.8310 0.9154
K12 0.5846 0.6137 0.9156
K13 0.1981 0.1137 0.0291
Ba3 0.7500 0.3750 0.1250
Ba4 0.8750 0.7500 0.1250
F5 0.0000 0.0000 0.5000
F6 0.5000 0.5000 0.0000
K14 0.4709 0.3019 0.8863
K15 0.9709 0.5846 0.6690
F7 0.6250 0.8750 0.2500
F8 0.5000 0.0000 0.5000
K16 0.6981 0.1690 0.5844
K17 0.0844 0.1981 0.1690
Ba5 0.8750 0.1250 0.2500
Ba6 0.1250 0.8750 0.7500
K18 0.0846 0.4156 0.1137
K19 0.8310 0.5291 0.4154
K20 0.4156 0.3310 0.3019
K21 0.0291 0.4154 0.3310
K22 0.0846 0.6690 0.4709
K23 0.8310 0.3019 0.9156
Ba7 0.6250 0.3750 0.7500
K24 0.3019 0.4709 0.3863
F9 0.1250 0.3750 0.2500
Ba8 0.6250 0.2500 0.3750
K25 0.4709 0.1690 0.0846
F10 0.5000 0.0000 0.0000
K26 0.8019 0.9156 0.3310
K27 0.0844 0.8863 0.4154
K28 0.3310 0.9154 0.0291
K29 0.6137 0.0291 0.6981
F11 0.3750 0.1250 0.7500
K30 0.6690 0.0846 0.9709
Ba9 0.2500 0.1250 0.3750
F12 0.3750 0.2500 0.1250
K31 0.3863 0.4154 0.5844
K32 0.1137 0.1981 0.5291
K33 0.8863 0.0844 0.9154
K34 0.5844 0.9154 0.3863
F13 0.8750 0.2500 0.6250
K35 0.9154 0.3310 0.5291
F14 0.2500 0.3750 0.6250
K36 0.1690 0.4709 0.5846
K37 0.5844 0.6690 0.6981
K38 0.6981 0.5291 0.6137
K39 0.3019 0.8310 0.4156
K40 0.0291 0.6137 0.1981
K41 0.3310 0.4156 0.8019
F15 0.5000 0.5000 0.5000
K42 0.5291 0.6981 0.1137
F16 0.0000 0.0000 0.0000
K43 0.1690 0.6981 0.0844
Ba10 0.2500 0.6250 0.8750
K44 0.3863 0.9709 0.3019
F17 0.0000 0.5000 0.0000
Ba11 0.3750 0.7500 0.6250
K45 0.1981 0.0844 0.6690
Ba12 0.3750 0.6250 0.2500
F18 0.1250 0.7500 0.3750
K46 0.4154 0.3863 0.0844
F19 0.2500 0.8750 0.1250
K47 0.8863 0.8019 0.4709
F20 0.7500 0.1250 0.8750
K48 0.9709 0.3863 0.8019

Output
Calculated total energy   -2.48 eV per atom
Space group   Ia-3d
DOS at the Fermi energy   63.0 states/eV per cell


# 6
# KBa2F2

A relaxed structure of KBa2F2 (PBE, Alexandria via LeMat-Bulk).

a b c (Å): 11.0619 11.0619 3.7061
angles (deg): 90.00 90.00 90.00
Atoms (fractional coordinates):
K1 0.0000 0.0000 0.0000
Ba1 0.6093 0.1093 0.0000
Ba2 0.1093 0.3907 0.0000
F1 0.0787 0.5787 0.5000
F2 0.9213 0.4213 0.5000
Ba3 0.8907 0.6093 0.0000
K2 0.5000 0.5000 0.0000
F3 0.4213 0.0787 0.5000
F4 0.5787 0.9213 0.5000
Ba4 0.3907 0.8907 0.0000

Output
Calculated total energy   -3.45 eV per atom
Relative energy among the computed polymorphs   0.5100 eV per atom
Space group   P4/mbm
DOS at the Fermi energy   8.3 states/eV per cell


# 7
# KBa2F2

A relaxed structure of KBa2F2 (PBE, Alexandria via LeMat-Bulk).

a b c (Å): 4.5447 4.5447 10.5571
angles (deg): 77.57 77.57 90.00
Atoms (fractional coordinates):
F1 0.2500 0.7500 0.5000
Ba1 0.6780 0.6780 0.6439
Ba2 0.3220 0.3220 0.3561
K1 0.0000 0.0000 0.0000
F2 0.7500 0.2500 0.5000

Output
Calculated total energy   -3.96 eV per atom
Relative energy among the computed polymorphs   0.0000 eV per atom
Space group   I4/mmm
DOS at the Fermi energy   3.0 states/eV per cell


# 8
# K2BaF4

A relaxed structure of K2BaF4 (PBE, Alexandria via LeMat-Bulk).

a b c (Å): 7.1616 7.1616 7.1620
angles (deg): 109.17 109.18 110.07
Atoms (fractional coordinates):
F1 0.7376 0.0525 0.6849
F2 0.3026 0.4876 0.1850
F3 0.8824 0.6975 0.1850
K1 0.6250 0.3750 0.2500
K2 0.6250 0.3750 0.7500
Ba1 0.9999 0.9999 0.0000
F4 0.5125 0.6975 0.8150
K3 0.1250 0.3750 0.7500
Ba2 0.2501 0.7501 0.5000
F5 0.3676 0.0526 0.3150
F6 0.9473 0.2623 0.3150
K4 0.6250 0.8750 0.2500
F7 0.9473 0.6324 0.6850
F8 0.3026 0.1176 0.8150

Output
Calculated total energy   -4.83 eV per atom
Relative energy among the computed polymorphs   0.0000 eV per atom
Space group   I4_1/amd
DOS at the Fermi energy   0.0 states/eV per cell


# 9
# K3BaF

A relaxed structure of K3BaF (PBE, Alexandria via LeMat-Bulk).

a b c (Å): 8.2516 8.2516 8.2516
angles (deg): 90.00 90.00 90.00
Atoms (fractional coordinates):
Ba1 0.0000 0.0000 0.0000
K1 0.5000 0.0000 0.0000
K2 0.0000 0.5000 0.0000
K3 0.0000 0.0000 0.5000
F1 0.5000 0.5000 0.5000

Output
Calculated total energy   -1.34 eV per atom
Relative energy among the computed polymorphs   0.8662 eV per atom
Space group   Pm-3m
DOS at the Fermi energy   4.4 states/eV per cell


# 10
# K3Ba2F8

A relaxed structure of K3Ba2F8 (PBE, Alexandria via LeMat-Bulk).

a b c (Å): 4.4070 7.9670 7.9670
angles (deg): 67.91 90.00 90.00
Atoms (fractional coordinates):
Ba1 0.4998 0.2644 0.2644
F1 0.5000 0.3635 0.8941
K1 0.0000 0.2812 0.7188
F2 0.5000 0.1059 0.6365
K2 0.5000 0.0000 0.0000
F3 0.5000 0.8941 0.3635
F4 0.9998 0.3695 0.3695
F5 0.9998 0.1253 0.1253
Ba2 0.5002 0.7356 0.7356
K3 0.0000 0.7188 0.2812
F6 0.0002 0.8747 0.8747
F7 0.0002 0.6305 0.6305
F8 0.5000 0.6365 0.1059

Output
Calculated total energy   -4.71 eV per atom
Space group   Cmmm
DOS at the Fermi energy   15.6 states/eV per cell


# 11
# KBa3F

A relaxed structure of KBa3F (PBE, Alexandria via LeMat-Bulk).

a b c (Å): 7.2712 7.2712 7.2712
angles (deg): 90.00 90.00 90.00
Atoms (fractional coordinates):
K1 0.0000 0.0000 0.0000
F1 0.5000 0.5000 0.5000
Ba1 0.0000 0.5000 0.0000
Ba2 0.0000 0.0000 0.5000
Ba3 0.5000 0.0000 0.0000

Output
Calculated total energy   -1.56 eV per atom
Relative energy among the computed polymorphs   1.0904 eV per atom
Space group   Pm-3m
DOS at the Fermi energy   8.6 states/eV per cell


# 12
# K2BaF4

A relaxed structure of K2BaF4 (PBE, Alexandria via LeMat-Bulk).

a b c (Å): 5.0896 5.0896 7.8877
angles (deg): 108.82 108.82 90.00
Atoms (fractional coordinates):
F1 0.1814 0.1814 0.3628
K1 0.3546 0.3546 0.7092
F2 0.8186 0.8186 0.6372
F3 0.5000 0.0000 0.0000
Ba1 0.0000 0.0000 0.0000
F4 0.0000 0.5000 0.0000
K2 0.6454 0.6454 0.2908

Output
Calculated total energy   -4.70 eV per atom
Relative energy among the computed polymorphs   0.1265 eV per atom
Space group   I4/mmm
DOS at the Fermi energy   0.0 states/eV per cell


# 13
# K3Ba5F12

A relaxed structure of K3Ba5F12 (PBE, Alexandria via LeMat-Bulk).

a b c (Å): 13.5265 13.5265 13.5265
angles (deg): 109.47 109.47 109.47
Atoms (fractional coordinates):
F1 0.1531 0.2171 0.0556
F2 0.2829 0.9444 0.3469
K1 0.7500 0.8750 0.6250
K2 0.6250 0.3750 0.7500
Ba1 0.5000 0.5000 0.5000
Ba2 0.1250 0.7500 0.3750
F3 0.3385 0.0556 0.9024
F4 0.8469 0.7829 0.9444
F5 0.0976 0.6531 0.9360
F6 0.4024 0.8385 0.0556
F7 0.5640 0.4024 0.3469
Ba3 0.7500 0.1250 0.8750
Ba4 0.2500 0.3750 0.6250
F8 0.5976 0.1615 0.9444
K3 0.8750 0.7500 0.1250
F9 0.4444 0.0976 0.1615
F10 0.9360 0.1531 0.0976
F11 0.2171 0.1531 0.5556
F12 0.0556 0.3385 0.4024
F13 0.9024 0.3469 0.0640
Ba5 0.0000 0.0000 0.5000
Ba6 0.2500 0.8750 0.1250
Ba7 0.0000 0.5000 0.0000
F14 0.7829 0.9360 0.8385
F15 0.1615 0.5640 0.2171
F16 0.6531 0.5556 0.7171
K4 0.8750 0.1250 0.2500
K5 0.2500 0.1250 0.3750
F17 0.0640 0.2171 0.6615
F18 0.6615 0.9444 0.0976
F19 0.0640 0.8469 0.9024
Ba8 0.3750 0.2500 0.1250
Ba9 0.8750 0.2500 0.6250
Ba10 0.6250 0.8750 0.2500
F20 0.0556 0.7171 0.1531
F21 0.5556 0.6531 0.2171
F22 0.2171 0.0640 0.1615
F23 0.6615 0.7171 0.0640
F24 0.6531 0.0976 0.4360
F25 0.8385 0.4360 0.7829
Ba11 0.6250 0.7500 0.8750
F26 0.5640 0.1615 0.7171
K6 0.3750 0.6250 0.2500
K7 0.1250 0.2500 0.8750
Ba12 0.5000 0.0000 0.0000
Ba13 0.0000 0.0000 0.0000
F27 0.7171 0.0556 0.6531
F28 0.9444 0.2829 0.8469
Ba14 0.7500 0.6250 0.3750
F29 0.1615 0.5976 0.4444
K8 0.3750 0.7500 0.6250
F30 0.3469 0.9024 0.5640
Ba15 0.5000 0.5000 0.0000
F31 0.1531 0.9360 0.5976
F32 0.9024 0.5556 0.3385
Ba16 0.8750 0.6250 0.7500
F33 0.7829 0.8469 0.4444
Ba17 0.3750 0.1250 0.7500
F34 0.5556 0.9024 0.8385
Ba18 0.5000 0.0000 0.5000
K9 0.6250 0.2500 0.3750
F35 0.9360 0.7829 0.3385
K10 0.2500 0.6250 0.8750
F36 0.5976 0.4360 0.1531
F37 0.4360 0.5976 0.6531
F38 0.3385 0.2829 0.9360
F39 0.9444 0.6615 0.5976
F40 0.4444 0.3469 0.7829
F41 0.4024 0.5640 0.8469
F42 0.8385 0.4024 0.5556
F43 0.8469 0.0640 0.4024
K11 0.7500 0.3750 0.1250
F44 0.7171 0.6615 0.5640
F45 0.3469 0.4444 0.2829
F46 0.2829 0.3385 0.4360
K12 0.1250 0.8750 0.7500
Ba19 0.0000 0.5000 0.5000
Ba20 0.1250 0.3750 0.2500
F47 0.4360 0.8385 0.2829
F48 0.0976 0.4444 0.6615

Output
Calculated total energy   -5.09 eV per atom
Space group   Ia-3d
DOS at the Fermi energy   13.3 states/eV per cell


# 14
# K2BaLaF8

A relaxed structure of K2BaLaF8 (PBE, Alexandria via LeMat-Bulk).

a b c (Å): 6.1773 6.1773 7.4826
angles (deg): 114.38 114.38 90.00
Atoms (fractional coordinates):
F1 0.5900 0.6346 0.7340
K1 0.7500 0.2500 0.5000
La1 0.2500 0.7500 0.5000
K2 0.0000 0.0000 0.0000
Ba1 0.5000 0.5000 0.0000
F2 0.1440 0.6346 0.7340
F3 0.3654 0.8560 0.2660
F4 0.9006 0.8560 0.2660
F5 0.1440 0.0994 0.7340
F6 0.5900 0.0994 0.7340
F7 0.9006 0.4100 0.2660
F8 0.3654 0.4100 0.2660

Output
Calculated total energy   -5.29 eV per atom
Space group   I-4m2
DOS at the Fermi energy   17.6 states/eV per cell


# 15
# KBa2LiF

A relaxed structure of KBa2LiF (PBE, Alexandria via LeMat-Bulk).

a b c (Å): 5.7452 5.7452 5.9153
angles (deg): 90.00 90.00 90.00
Atoms (fractional coordinates):
Ba1 0.0000 0.5000 0.0000
Ba2 0.5000 0.0000 0.0000
K1 0.0000 0.0000 0.5000
Li1 0.5000 0.5000 0.5000
F1 0.0000 0.0000 0.0000

Output
Calculated total energy   -2.72 eV per atom
Space group   P4/mmm
DOS at the Fermi energy   3.6 states/eV per cell


Calculated values (μB/cell) of total moment for the records, taken in order: 0.42; 1.40; 0.00; 0.83; 8.82; 1.28; 0.00; 0.00; 2.00; 1.21; 2.02; 0.09; 3.03; 1.20; 0.00.